(1)
CaLa2Y (SCAN, single point on PBEsol structure); relative energy among the computed polymorphs = 0.0213 eV per atom; energy of formation from the pure elements = 1.9 kcal/mol of atoms; energy = -123.40 eV per formula unit; spin magnetization = 0.0 Bohr magnetons per cell
1.0
6.0795 -1.8177 0.0000
6.0795 1.8177 0.0000
-1.1009 0.0000 6.2328
Ca La Y
1 2 1
Cartesian
0.0000 0.0000 0.0000
2.1668 0.0000 4.5249
5.5292 0.0000 3.1196
8.8661 0.0000 1.5701

(2)
Ca4LaY (SCAN, single point on PBEsol structure); energy of formation from the pure elements = 6.3 kcal/mol of atoms; energy = -107.97 eV per formula unit; spin magnetization = 1.4 Bohr magnetons per cell
1.0
0.0000 4.8900 4.8900
4.8900 0.0000 4.8900
4.8900 4.8900 0.0000
Ca La Y
4 1 1
Cartesian
1.2203 1.2203 1.2203
3.6698 3.6698 1.2203
3.6698 1.2203 3.6698
1.2203 3.6698 3.6698
4.8900 4.8900 4.8900
7.3350 7.3350 7.3350

(3)
Ca2LaY (SCAN, single point on PBEsol structure); relative energy among the computed polymorphs = 0.0000 eV per atom; energy of formation from the pure elements = 1.2 kcal/mol of atoms; energy = -90.06 eV per formula unit; spin magnetization = 0.1 Bohr magnetons per cell
1.0
3.7042 0.0000 0.0000
0.0000 3.7042 0.0000
0.0000 0.0000 10.5596
Ca La Y
2 1 1
Cartesian
0.0000 0.0000 0.0000
1.8521 1.8521 2.8685
0.0000 0.0000 5.6247
1.8521 1.8521 7.9406

(4)
CaLa2Y (SCAN, single point on PBEsol structure); relative energy among the computed polymorphs = 0.0066 eV per atom; energy of formation from the pure elements = 1.5 kcal/mol of atoms; energy = -123.45 eV per formula unit; spin magnetization = 0.1 Bohr magnetons per cell
1.0
3.6173 0.0000 0.0000
0.0000 5.1467 0.0000
0.0000 0.0000 7.4691
Ca La Y
1 2 1
Cartesian
0.0000 0.0000 0.0000
1.8087 2.5733 2.0415
1.8087 2.5733 5.4276
0.0000 0.0000 3.7346